DFT (PBE) results for a relaxed Tm2AlAg crystal.

Results
Electronic total energy = -17.011 eV per formula unit
Magnetic moment = 0.000 Bohr magnetons per cell

Cell: 3.5103 3.5103 7.4349 Å, 90.00 90.00 90.00°
With the nearest neighbours (Å) after each atom.
Space group P4/mmm (No. 123)
Inequivalent atoms, fractional coordinates:
Tm 0.0000 0.0000 0.2488 [2 per cell]  4 Ag 3.10, 4 Al 3.11
Al 0.5000 0.5000 0.5000 [1 per cell]  8 Tm 3.11
Ag 0.5000 0.5000 0.0000 [1 per cell]  8 Tm 3.10